Tb6ZnTe3 | PBE | optimized geometry

Computed properties:
* SG: P2_1/m (11)
* uncorrected formation energy: -0.767 eV/atom

The structure in POSCAR format:
```
Tb6ZnTe3
1.0
-2.8109 2.4131 1.5459
-5.5238 -9.5370 4.8431
8.2346 3.8220 9.0067
Tb Zn Te
12 2 6
direct
0.7500 0.4853 0.6493
0.2500 0.5147 0.3507
0.7500 0.9411 0.1288
0.2500 0.0589 0.8712
0.7500 0.4171 0.1107
0.2500 0.5829 0.8893
0.7500 0.7596 0.3034
0.2500 0.2404 0.6966
0.7500 0.1087 0.4588
0.2500 0.8913 0.5412
0.7500 0.7917 0.7573
0.2500 0.2083 0.2427
0.7500 0.0393 0.6878
0.2500 0.9607 0.3122
0.7500 0.3845 0.8587
0.2500 0.6155 0.1413
0.7500 0.6723 0.5133
0.2500 0.3277 0.4867
0.7500 0.1581 0.0512
0.2500 0.8419 0.9488
```



Tb5Zn2Te | PBE | optimized geometry

Computed properties:
* SG: I4/mcm (140)
* uncorrected formation energy: -0.492 eV/atom

The structure in POSCAR format:
```
Tb5Zn2Te
1.0
-5.7808 -1.7554 5.5816
-5.3832 -1.4787 -6.0404
7.3307 -4.4074 0.1458
Tb Zn Te
10 4 2
direct
0.5097 0.7043 0.7140
0.7957 0.9903 0.2860
0.0000 0.0000 0.0000
0.5000 0.5000 0.0000
0.2043 0.0097 0.7140
0.7043 0.2043 0.7140
0.0097 0.5097 0.7140
0.2957 0.7957 0.2860
0.9903 0.4903 0.2860
0.4903 0.2957 0.2860
0.1422 0.3578 0.0000
0.6422 0.1422 0.0000
0.3578 0.8578 0.0000
0.8578 0.6422 0.0000
0.7500 0.7500 0.5000
0.2500 0.2500 0.5000
```



TbZrTe2 | PBE | optimized geometry

Computed properties:
* SG: R-3m (166)
* energy relative to the lowest polymorph listed for this composition: 331.0 meV per atom
* uncorrected formation energy: -0.623 eV/atom

The structure in POSCAR format:
```
TbZrTe2
1.0
3.9056 0.0000 0.0000
1.9528 3.3824 0.0000
1.9528 1.1275 9.8042
Te Tb Zr
2 1 1
direct
0.1037 0.1037 0.6888
0.8963 0.8963 0.3112
0.0000 0.0000 0.0000
0.5000 0.5000 0.5000
```



TbZrTe3 | PBE | optimized geometry

Computed properties:
* SG: R32 (155)
* uncorrected formation energy: -0.926 eV/atom

The structure in POSCAR format:
```
TbZrTe3
1.0
-5.0080 -3.3325 -3.8670
-2.3735 -6.4392 2.0106
-7.8499 0.0254 3.5319
Tb Zr Te
2 2 6
direct
0.1623 0.1623 0.5132
0.8377 0.8377 0.4868
0.3333 0.3333 0.0002
0.6667 0.6667 0.9998
0.2706 0.9259 0.2423
0.9259 0.5613 0.2423
0.5613 0.2706 0.2423
0.7294 0.4387 0.7577
0.0741 0.7294 0.7577
0.4387 0.0741 0.7577
```



Tb2ZrTe | PBE | optimized geometry

Computed properties:
* SG: P4/mmm (123)
* energy relative to the lowest polymorph listed for this composition: 0.0 meV per atom
* uncorrected formation energy: -0.478 eV/atom

The structure in POSCAR format:
```
Tb2ZrTe
1.0
3.8222 0.0000 0.0000
0.0000 3.8222 0.0000
0.0000 0.0000 7.4924
Te Tb Zr
1 2 1
direct
0.5000 0.5000 0.0000
0.0000 0.0000 0.7626
0.0000 0.0000 0.2374
0.5000 0.5000 0.5000
```



Tb2ZrTe | PBE | optimized geometry

Computed properties:
* SG: R-3m (166)
* energy relative to the lowest polymorph listed for this composition: 468.1 meV per atom
* uncorrected formation energy: -0.010 eV/atom

The structure in POSCAR format:
```
Tb2ZrTe
1.0
3.7033 0.0000 0.0000
1.8517 3.2072 0.0000
1.8517 1.0691 10.3688
Te Tb Zr
1 2 1
direct
0.5000 0.5000 0.5000
0.0978 0.0978 0.7067
0.9022 0.9022 0.2933
0.0000 0.0000 0.0000
```



Tb2Zr2Te7 | PBE | optimized geometry

Computed properties:
* SG: Imm2 (44)
* uncorrected formation energy: -1.016 eV/atom

The structure in POSCAR format:
```
Tb2Zr2Te7
1.0
4.1592 0.0000 0.0000
2.0796 9.1837 -0.0875
2.0796 4.2773 8.1273
Tb Zr Te
2 2 7
direct
0.7287 0.8640 0.6786
0.2713 0.3214 0.1360
0.0000 0.7729 0.2271
0.5000 0.3285 0.6715
0.8226 0.0574 0.2974
0.8647 0.4329 0.8377
0.5000 0.0110 0.9890
0.6036 0.4969 0.2960
0.3964 0.7040 0.5031
0.1774 0.7026 0.9426
0.1353 0.1623 0.5671
```



TbZrTe | PBE | optimized geometry

Computed properties:
* SG: P-6m2 (187)
* uncorrected formation energy: -0.345 eV/atom

The structure in POSCAR format:
```
TbZrTe
1.0
3.7850 0.0000 0.0000
0.0000 4.9715 0.0000
0.0000 -2.4858 4.3055
Te Tb Zr
1 1 1
direct
0.1670 0.3333 0.6667
0.6664 0.6667 0.3333
0.1665 0.0000 0.0000
```



TbZrTe2 | PBE | optimized geometry

Computed properties:
* SG: I-4m2 (119)
* energy relative to the lowest polymorph listed for this composition: 193.7 meV per atom
* uncorrected formation energy: -0.760 eV/atom

The structure in POSCAR format:
```
TbZrTe2
1.0
-0.5223 3.8557 -0.0214
-0.9139 -0.1463 -3.7783
-6.5437 -2.8269 3.6998
Tb Zr Te
1 1 2
direct
0.2214 0.8815 0.2283
0.4712 0.6304 0.7281
0.8341 0.4947 0.4537
0.6086 0.2680 0.0027
```



TbZrTe2 | PBE | optimized geometry

Computed properties:
* SG: P4/mmm (123)
* energy relative to the lowest polymorph listed for this composition: 0.0 meV per atom
* uncorrected formation energy: -0.954 eV/atom

The structure in POSCAR format:
```
TbZrTe2
1.0
-0.0510 2.3036 2.8394
2.0080 -2.3554 1.9470
6.1894 3.2134 -2.4958
Te Tb Zr
2 1 1
direct
0.0000 0.0000 0.7656
0.0000 0.0000 0.2344
0.5000 0.5000 0.5000
0.5000 0.5000 0.0000
```



TbTh7 | PBE | optimized geometry

Computed properties:
* SG: Fm-3m (225)
* energy of formation from the pure elements: 0.0186 eV per atom

The structure in POSCAR format:
```
TbTh7
1.0
-4.7910 5.2447 0.6097
-4.4373 1.4199 -5.3968
-6.9335 -1.5553 0.5822
Tb Th
1 7
direct
0.0000 0.0000 0.0000
0.5000 0.5000 0.0000
0.5000 0.0000 0.5000
0.0000 0.5000 0.5000
0.5000 0.0000 0.0000
0.0000 0.5000 0.0000
0.0000 0.0000 0.5000
0.5000 0.5000 0.5000
```



TbTh3 | PBE | optimized geometry

Computed properties:
* SG: Pmm2 (25)
* energy relative to the lowest polymorph listed for this composition: 4.0 meV per atom
* energy of formation from the pure elements: 0.0524 eV per atom

The structure in POSCAR format:
```
TbTh3
1.0
-0.1835 -1.7759 3.0756
-4.7458 -2.9121 -1.9647
3.6543 -4.3917 -2.3178
Tb Th
1 3
direct
0.0000 0.5000 0.3300
0.0000 0.0000 0.0025
0.5000 0.0000 0.5012
0.5000 0.5000 0.8330
```



Total DFT energy (no corrections) (computed, eV per formula unit): -46.1 -32.8 -22.0 -27.2 -22.9 -21.0 -59.5 -17.4 -22.5 -23.3 -56.4 -26.7
Spin magnetization (computed, μB/f.u.): 0.03 0.00 0.00 0.35 0.00 1.41 0.00 0.00 0.23 0.00 0.00 0.00